(1)
A geometry-optimized CeIn3Pd4 structure, computed with GGA-PBE.

a b c (Å): 8.261 8.261 8.261
angles (deg): 33.78 33.78 33.78
Positions (direct):
Ce 0.000 0.000 0.000
In 0.251 0.251 0.251
In 0.500 0.500 0.500
In 0.749 0.749 0.749
Pd 0.128 0.128 0.128
Pd 0.383 0.383 0.383
Pd 0.617 0.617 0.617
Pd 0.872 0.872 0.872

Values from the calculation:
- raw total energy (eV per atom) = -4.94

***

(2)
A geometry-optimized Ce2In2Pd5 structure, computed with GGA-PBE.

a b c (Å): 6.283 6.283 7.603
angles (deg): 113.91 113.91 46.92
Positions (direct):
Ce 0.131 0.131 0.353
Ce 0.869 0.869 0.647
In 0.340 0.340 0.109
In 0.660 0.660 0.891
Pd 0.141 0.141 0.725
Pd 0.401 0.401 0.797
Pd 0.500 0.500 0.500
Pd 0.599 0.599 0.203
Pd 0.859 0.859 0.275

Values from the calculation:
- raw total energy (eV per atom) = -5.31

***

(3)
A geometry-optimized Ce2InPd structure, computed with GGA-PBE.

a b c (Å): 9.008 9.008 9.008
angles (deg): 24.73 24.73 24.73
Positions (direct):
Ce 0.238 0.238 0.238
Ce 0.762 0.762 0.762
In 0.000 0.000 0.000
Pd 0.500 0.500 0.500

Values from the calculation:
- raw total energy (eV per atom) = -5.28

***

(4)
A geometry-optimized Ce2InPd structure, computed with GGA-PBE.

a b c (Å): 4.439 4.439 4.690
angles (deg): 90.00 90.00 90.00
Positions (direct):
Ce 0.000 0.500 0.000
Ce 0.500 0.000 0.000
In 0.000 0.000 0.500
Pd 0.500 0.500 0.500

Values from the calculation:
- raw total energy (eV per atom) = -5.40

***

(5)
A geometry-optimized CeIn2Pd2 structure, computed with GGA-PBE.

a b c (Å): 5.257 4.806 8.895
angles (deg): 90.00 98.17 90.00
Positions (direct):
Ce 0.157 0.250 0.265
Ce 0.843 0.750 0.735
In 0.350 0.750 0.028
In 0.359 0.250 0.634
In 0.641 0.750 0.366
In 0.650 0.250 0.972
Pd 0.125 0.250 0.895
Pd 0.164 0.750 0.476
Pd 0.836 0.250 0.524
Pd 0.875 0.750 0.105

Values from the calculation:
- raw total energy (eV per atom) = -4.94

***

(6)
A geometry-optimized CeInPd14 structure, computed with GGA-PBE.

a b c (Å): 5.752 5.752 7.877
angles (deg): 90.00 90.00 90.00
Positions (direct):
Ce 0.000 0.000 0.000
In 0.500 0.500 0.000
Pd 0.000 0.000 0.500
Pd 0.000 0.500 0.000
Pd 0.000 0.500 0.500
Pd 0.251 0.251 0.254
Pd 0.251 0.251 0.746
Pd 0.251 0.749 0.254
Pd 0.251 0.749 0.746
Pd 0.500 0.000 0.000
Pd 0.500 0.000 0.500
Pd 0.500 0.500 0.500
Pd 0.749 0.251 0.254
Pd 0.749 0.251 0.746
Pd 0.749 0.749 0.254
Pd 0.749 0.749 0.746

Values from the calculation:
- raw total energy (eV per atom) = -5.41